# 1
LaMgCr3 PBE optimized geometry; electronic total energy = -29.4 eV/cell; formation energy from the elements = 1201 meV per atom; total magnetization = 10.99 μB per formula unit
1.0
4.894 0.000 0.000
0.000 4.894 0.000
0.000 0.000 4.894
Cr La Mg
3 1 1
Direct
0.000 0.000 0.500
0.500 0.000 0.000
0.000 0.500 0.000
0.500 0.500 0.500
0.000 0.000 0.000

=====

# 2
La2MgCr PBE optimized geometry; electronic total energy = -19.4 eV/cell; formation energy from the elements = 429 meV per atom; total magnetization = 3.78 μB per formula unit
1.0
-6.724 5.163 -6.573
-8.501 2.104 -6.195
-8.877 4.689 -3.780
Mg La Cr
1 2 1
Direct
0.488 0.488 0.488
0.245 0.245 0.245
0.013 0.013 0.013
0.755 0.755 0.755